{"formula": "Pr6AsIr2Br3", "functional": "PBE", "state": "relaxed", "cell": [[3.695, -6.394, 0.000], [3.695, 6.394, 0.000], [-2.445, 0.000, 7.708]], "species": ["Pr", "Pr", "Pr", "Pr", "Pr", "Pr", "As", "Ir", "Ir", "Br", "Br", "Br"], "fractional_positions": [[0.085, 0.433, 0.800], [0.217, 0.217, 0.200], [0.433, 0.085, 0.800], [0.567, 0.915, 0.200], [0.783, 0.783, 0.800], [0.915, 0.567, 0.200], [0.500, 0.500, 0.000], [0.167, 0.833, 0.000], [0.833, 0.167, 0.000], [0.000, 0.000, 0.500], [0.337, 0.663, 0.500], [0.663, 0.337, 0.500]], "e_form_raw_mev_per_atom": -1181, "spacegroup": "C2/m"}

=====

{"formula": "BeTcMoBr2", "functional": "PBE", "state": "relaxed", "cell": [[5.075, 0.000, 0.000], [0.000, 5.075, 0.000], [0.000, 0.000, 4.944]], "species": ["Be", "Tc", "Mo", "Br", "Br"], "fractional_positions": [[0.000, 0.000, 0.000], [0.500, 0.500, 0.500], [0.500, 0.500, 0.000], [0.000, 0.500, 0.500], [0.500, 0.000, 0.500]], "e_form_raw_mev_per_atom": 1385, "spacegroup": "P4/mmm"}

=====

{"formula": "Sr2AgSn3", "functional": "PBE", "state": "relaxed", "cell": [[5.822, -2.615, 0.000], [5.822, 2.615, 0.000], [-5.416, 0.000, 5.812]], "species": ["Sr", "Sr", "Ag", "Sn", "Sn", "Sn"], "fractional_positions": [[0.000, 0.000, 0.000], [0.089, 0.089, 0.586], [0.374, 0.374, 0.557], [0.379, 0.379, 0.186], [0.695, 0.695, 0.987], [0.714, 0.714, 0.403]], "e_above_lowest_polymorph_mev_per_atom": 0, "e_form_ev_per_atom": -0.49, "spacegroup": "Cm"}

=====

{"formula": "Sb2TeWBr", "functional": "PBE", "state": "relaxed", "cell": [[5.313, 0.000, 0.000], [0.000, 5.313, 0.000], [0.000, 0.000, 5.204]], "species": ["Sb", "Sb", "Te", "W", "Br"], "fractional_positions": [[0.000, 0.500, 0.000], [0.500, 0.000, 0.000], [0.000, 0.000, 0.500], [0.000, 0.000, 0.000], [0.500, 0.500, 0.500]], "e_above_lowest_polymorph_mev_per_atom": 0, "e_form_raw_mev_per_atom": 373, "spacegroup": "P4/mmm"}

=====

Number 1: electronic total energy -5.85 eV per atom, spin magnetization 0.0000 μB per atom, D(E_F) 0.258 states/eV/atom. Number 2: electronic total energy -4.27 eV per atom, spin magnetization 0.4001 μB per atom, D(E_F) 0.474 states/eV/atom. Number 3: electronic total energy -3.52 eV per atom, spin magnetization 0.0000 μB per atom, D(E_F) 0.474 states/eV/atom. Number 4: electronic total energy -4.83 eV per atom, spin magnetization 0.0000 μB per atom, D(E_F) 0.762 states/eV/atom.